Material: KRuRh
Method: DFT, PBE
State: relaxed

For the total energy, the calculation gives -5.05 eV per atom. The value obtained for the excess energy over the best structure of this formula in the dataset is 1.131 eV per formula unit. For the volume, the calculation gives 26.728 Å³/atom. The formation energy is 19.9 kcal/mol of atoms.

The space group is P6_3/mmc (No. 194) and the conventional cell measures 4.0988, 4.0988 and 11.0225 Å, with angles of 90.00, 90.00 and 120.00 degrees. Symmetry generates all atoms from K at (0.0000, 0.0000, 0.0000), Ru at (0.3333, 0.6667, 0.2500) and Rh at (0.3333, 0.6667, 0.7500).